Na2Ce2Pt15: optimized geometry, PBE.

Results
* formation enthalpy at 0 K: -0.5346 eV/atom
* symmetry: R-3m (166)

Unit cell a=7.028 b=7.028 c=7.028 alpha=83.44 beta=83.44 gamma=83.44
Last column: magnetic moment on the atom in μB.
Sites, in units of the cell vectors:
Pt1 0.660 0.660 0.169  -0.01
Pt2 0.340 0.831 0.340  -0.01
Pt3 0.000 0.500 0.000  -0.01
Pt4 0.340 0.340 0.831  -0.01
Pt5 0.660 0.169 0.660  -0.01
Pt6 0.327 0.000 0.673  -0.02
Pt7 0.000 0.673 0.327  -0.02
Pt8 0.169 0.660 0.660  -0.01
Pt9 0.000 0.327 0.673  -0.02
Pt10 0.000 0.000 0.500  -0.01
Pt11 0.673 0.327 0.000  -0.02
Pt12 0.831 0.340 0.340  -0.01
Pt13 0.327 0.673 0.000  -0.02
Pt14 0.500 0.000 0.000  -0.01
Pt15 0.673 0.000 0.327  -0.02
Ce1 0.348 0.348 0.348  0.46
Ce2 0.652 0.652 0.652  0.46
Na1 0.909 0.909 0.909  0.00
Na2 0.091 0.091 0.091  0.00



Mg6NbAl: optimized geometry, PBE.

Results
* formation enthalpy at 0 K: 0.1013 eV/atom
* symmetry: Amm2 (38)

Unit cell a=6.257 b=6.257 c=4.865 alpha=90.00 beta=90.00 gamma=120.34
Sites, in units of the cell vectors:
Mg1 0.173 0.341 0.000
Mg2 0.659 0.827 0.000
Mg3 0.834 0.673 0.500
Mg4 0.327 0.166 0.500
Mg5 0.668 0.332 0.000
Mg6 0.832 0.168 0.500
Al1 0.183 0.817 0.000
Nb1 0.324 0.676 0.500



KAs: optimized geometry, PBE.

Results
* formation enthalpy at 0 K: 0.0094 eV/atom
* relative energy among the computed polymorphs: 0.473 eV per atom
* symmetry: I4_1/amd (141)

Unit cell a=5.712 b=5.712 c=5.712 alpha=127.73 beta=127.73 gamma=77.07
Sites, in units of the cell vectors:
As1 0.250 0.750 0.500
As2 0.000 0.000 0.000
K1 0.750 0.250 0.500
K2 0.500 0.500 0.000



ScRe2Sb: optimized geometry, PBE.

Results
* E_tot: -34.0 eV for the cell shown
* symmetry: F-43m (216)

Unit cell a=4.625 b=4.625 c=4.625 alpha=60.00 beta=60.00 gamma=60.00
Last column: magnetic moment on the atom in μB.
Sites, in units of the cell vectors:
Sc1 0.750 0.750 0.750  0.04
Re1 0.250 0.250 0.250  0.06
Re2 0.000 0.000 0.000  0.43
Sb1 0.500 0.500 0.500  0.02



Summary of magnetic moment in μB per atom
0.04; 0.00; 0.00; 0.17
(order as listed above)